Material: Ca2AlHgB
Method: DFT, PBE
State: relaxed

abc: 5.383 5.383 4.079
angles: 90.00 90.00 90.00
Sites, in units of the cell vectors:
Ca  0.000  0.500  0.000
Ca  0.500  0.000  0.000
B  0.000  0.000  0.000
Hg  0.500  0.500  0.500
Al  0.000  0.000  0.500

Computed properties:
Electronic total energy: -3.082 eV per atom
SG: No. 123
Energy relative to the elements: -137.0 meV per atom
Total magnetization: 0.000 μB per formula unit

Material: CaAlB6Ir2
Method: DFT, PBE
State: relaxed

abc: 4.776 4.776 7.623
angles: 71.74 71.74 60.00
Sites, in units of the cell vectors:
Ca  0.000  0.000  0.000
Al  0.500  0.500  0.500
B  0.172  0.521  0.786
B  0.521  0.172  0.786
B  0.479  0.479  0.214
B  0.828  0.479  0.214
B  0.479  0.828  0.214
B  0.521  0.521  0.786
Ir  0.777  0.777  0.669
Ir  0.223  0.223  0.331

Computed properties:
Electronic total energy: -6.142 eV per atom
SG: No. 166
Energy relative to the elements: 211.1 meV per atom
Total magnetization: 0.000 μB per formula unit